1.
A plane-wave DFT calculation with PBE was carried out for an optimized crystal structure of Zr2ScAg2Te6.

Properties
Raw total energy, eV/atom: -5.019
Uncorrected formation energy, eV per atom: -0.658
V, Å³/atom: 28.9

Cell lengths 7.0285, 12.1677, 7.7997 Å; angles 90.00, 107.51, 90.00 degrees
Closest atoms and distances in Å follow each position.
Space group C2/m (No. 12)
Symmetry-distinct sites (fractional):
Zr (0.0000, 0.1663, 0.0000)  6 Te 2.94
Sc (0.0000, 0.5000, 0.0000)  6 Te 2.93-2.95
Ag (0.0000, 0.3317, 0.5000)  6 Te 3.02-3.05
Te (0.2471, 0.0000, 0.2384)  1 Sc 2.93, 2 Zr 2.94, 2 Ag 3.05
Te (0.2470, 0.3327, 0.2399)  2 Zr 2.94, 1 Sc 2.95, 2 Ag 3.02-3.04

=====

2.
A plane-wave DFT calculation with PBE was carried out for an optimized crystal structure of ZrSc3Ag3Te8.

Properties
Raw total energy, eV/atom: -4.818
Uncorrected formation energy, eV per atom: -0.736
V, Å³/atom: 28.6

Cell lengths 14.4087, 8.3236, 8.6215 Å; angles 90.00, 123.99, 90.00 degrees
Closest atoms and distances in Å follow each position.
Space group C2/m (No. 12)
Symmetry-distinct sites (fractional):
Zr (0.0000, 0.0000, 0.0000)  6 Te 2.95
Sc (0.0000, 0.5000, 0.0000)  6 Te 2.95-2.96
Sc (0.2500, 0.2500, 0.0000)  6 Te 2.95-2.96
Ag (0.0000, 0.0000, 0.5000)  6 Te 3.02-3.05
Ag (0.2500, 0.2500, 0.5000)  6 Te 3.03-3.05
Te (0.0035, 0.2502, 0.7612)  2 Sc 2.95, 1 Zr 2.95, 2 Ag 3.04-3.05
Te (0.2468, 0.0000, 0.2388)  2 Sc 2.95, 1 Zr 2.95, 2 Ag 3.05
Te (0.2476, 0.5000, 0.2418)  3 Sc 2.96, 3 Ag 3.02-3.03

=====

3.
A plane-wave DFT calculation with PBE was carried out for an optimized crystal structure of Th2ScAg.

Properties
Raw total energy, eV/atom: -5.672
Formation energy from the elements, eV/atom: 0.33
V, Å³/atom: 28.7
Offset from the most stable computed form, eV per atom: 0.311

Cell lengths 3.3387, 3.3387, 35.6461 Å; angles 90.00, 90.00, 120.00 degrees
Closest atoms and distances in Å follow each position.
Space group R-3m (No. 166, hexagonal axes)
Symmetry-distinct sites (fractional):
Th (0.0000, 0.0000, 0.0874)  1 Ag 3.11, 6 Th 3.34, 3 Sc 3.42
Sc (0.0000, 0.0000, 0.5000)  6 Sc 3.34, 6 Th 3.42
Ag (0.0000, 0.0000, 0.0000)  2 Th 3.11, 6 Ag 3.34

=====

4.
A plane-wave DFT calculation with PBE was carried out for an optimized crystal structure of ThSc2Ag.

Properties
Raw total energy, eV/atom: -5.712
Formation energy from the elements, eV/atom: 0.02
V, Å³/atom: 24.8
Offset from the most stable computed form, eV per atom: 0.154

Cell lengths 3.4017, 3.4017, 29.6894 Å; angles 90.00, 90.00, 120.00 degrees
Closest atoms and distances in Å follow each position.
Space group R-3m (No. 166, hexagonal axes)
Symmetry-distinct sites (fractional):
Th (0.0000, 0.0000, 0.0000)  6 Sc 3.34, 6 Th 3.40
Sc (0.0000, 0.0000, 0.2422)  3 Ag 2.98
Ag (0.0000, 0.0000, 0.5000)  6 Sc 2.98

=====

5.
A plane-wave DFT calculation with PBE was carried out for an optimized crystal structure of Th2ScAg.

Properties
Raw total energy, eV/atom: -5.968
Formation energy from the elements, eV/atom: 0.04
V, Å³/atom: 27.1
Offset from the most stable computed form, eV per atom: 0.015

Cell lengths 5.5635, 5.5635, 3.5061 Å; angles 90.00, 90.00, 90.00 degrees
Closest atoms and distances in Å follow each position.
Space group P4/mmm (No. 123)
Symmetry-distinct sites (fractional):
Th (0.0000, 0.5000, 0.0000)  4 Ag 3.29, 4 Sc 3.29, 2 Th 3.51
Sc (0.0000, 0.0000, 0.5000)  8 Th 3.29, 2 Sc 3.51
Ag (0.5000, 0.5000, 0.5000)  8 Th 3.29, 2 Ag 3.51

=====

6.
A plane-wave DFT calculation with PBE was carried out for an optimized crystal structure of Th2ScAg.

Properties
Raw total energy, eV/atom: -5.983
Formation energy from the elements, eV/atom: 0.02
V, Å³/atom: 27.7
Offset from the most stable computed form, eV per atom: 0.000

Cell lengths 3.4470, 3.4470, 9.3119 Å; angles 90.00, 90.00, 90.00 degrees
Closest atoms and distances in Å follow each position.
Space group P4/mmm (No. 123)
Symmetry-distinct sites (fractional):
Th (0.0000, 0.0000, 0.2373)  4 Ag 3.29, 4 Th 3.45, 4 Sc 3.45
Sc (0.5000, 0.5000, 0.5000)  4 Sc 3.45, 8 Th 3.45
Ag (0.5000, 0.5000, 0.0000)  8 Th 3.29, 4 Ag 3.45

=====

7.
A plane-wave DFT calculation with PBE was carried out for an optimized crystal structure of Th2ScAg6.

Properties
Raw total energy, eV/atom: -4.376
Formation energy from the elements, eV/atom: -0.12
V, Å³/atom: 22.3

Cell lengths 8.4039, 8.4039, 3.2800 Å; angles 90.00, 90.00, 120.00 degrees
Closest atoms and distances in Å follow each position.
Space group P6/mmm (No. 191)
Symmetry-distinct sites (fractional):
Th (0.3333, 0.6667, 0.0000)  12 Ag 3.27, 2 Th 3.28
Sc (0.0000, 0.0000, 0.0000)  12 Ag 3.20, 2 Sc 3.28
Ag (0.0000, 0.3272, 0.5000)  3 Ag 2.75-2.90

=====

8.
A plane-wave DFT calculation with PBE was carried out for an optimized crystal structure of ThSc2Ag.

Properties
Raw total energy, eV/atom: -5.674
Formation energy from the elements, eV/atom: 0.06
V, Å³/atom: 24.7
Offset from the most stable computed form, eV per atom: 0.193

Cell lengths 4.5933, 4.5933, 4.6832 Å; angles 90.00, 90.00, 90.00 degrees
Closest atoms and distances in Å follow each position.
Space group P4/mmm (No. 123)
Symmetry-distinct sites (fractional):
Th (0.0000, 0.0000, 0.0000)  4 Ag 3.25, 8 Sc 3.28
Sc (0.0000, 0.5000, 0.5000)  4 Sc 3.25, 4 Ag 3.28, 4 Th 3.28
Ag (0.5000, 0.5000, 0.0000)  4 Th 3.25, 8 Sc 3.28

=====

9.
A plane-wave DFT calculation with PBE was carried out for an optimized crystal structure of ThSc4Ag.

Properties
Raw total energy, eV/atom: -5.983
Formation energy from the elements, eV/atom: -0.05
V, Å³/atom: 24.5

Cell lengths 3.3694, 3.3694, 12.9661 Å; angles 90.00, 90.00, 90.00 degrees
Closest atoms and distances in Å follow each position.
Space group P4/mmm (No. 123)
Symmetry-distinct sites (fractional):
Th (0.0000, 0.0000, 0.0000)  4 Th 3.37, 8 Sc 3.38
Sc (0.0000, 0.0000, 0.3616)  4 Ag 2.98, 4 Sc 3.31
Sc (0.5000, 0.5000, 0.1848)  8 Sc 3.31-3.37, 4 Th 3.38
Ag (0.5000, 0.5000, 0.5000)  8 Sc 2.98

=====

10.
A plane-wave DFT calculation with PBE was carried out for an optimized crystal structure of ThSc2Ag.

Properties
Raw total energy, eV/atom: -5.867
Formation energy from the elements, eV/atom: -0.13
V, Å³/atom: 24.0
Offset from the most stable computed form, eV per atom: 0.000

Cell lengths 3.5025, 3.5025, 7.8194 Å; angles 90.00, 90.00, 90.00 degrees
Closest atoms and distances in Å follow each position.
Space group P4/mmm (No. 123)
Symmetry-distinct sites (fractional):
Th (0.0000, 0.0000, 0.0000)  8 Sc 3.34, 4 Th 3.50
Sc (0.5000, 0.5000, 0.2867)  4 Ag 2.99, 1 Sc 3.34, 4 Th 3.34
Ag (0.0000, 0.0000, 0.5000)  8 Sc 2.99

=====

11.
A plane-wave DFT calculation with PBE was carried out for an optimized crystal structure of ThSc2Ag.

Properties
Raw total energy, eV/atom: -5.693
Formation energy from the elements, eV/atom: 0.04
V, Å³/atom: 25.0
Offset from the most stable computed form, eV per atom: 0.174

Cell lengths 3.3848, 3.3848, 30.2378 Å; angles 90.00, 90.00, 120.00 degrees
Closest atoms and distances in Å follow each position.
Space group R3m (No. 160, hexagonal axes)
Symmetry-distinct sites (fractional):
Th (0.0000, 0.0000, 0.0000)  6 Th 3.38, 6 Sc 3.41-3.44
Sc (0.0000, 0.0000, 0.2410)  3 Ag 2.96
Sc (0.0000, 0.0000, 0.4269)  3 Ag 2.97
Ag (0.0000, 0.0000, 0.8342)  6 Sc 2.96-2.97

=====

12.
A plane-wave DFT calculation with PBE was carried out for an optimized crystal structure of ThScTlAg.

Properties
Raw total energy, eV/atom: -4.868
Formation energy from the elements, eV/atom: -0.13
V, Å³/atom: 25.5

Cell lengths 7.4183, 7.4183, 7.4183 Å; angles 90.00, 90.00, 90.00 degrees
Closest atoms and distances in Å follow each position.
Space group F-43m (No. 216)
Symmetry-distinct sites (fractional):
Th (0.0000, 0.0000, 0.0000)  4 Ag 3.21, 4 Tl 3.21
Sc (0.0000, 0.0000, 0.5000)  4 Tl 3.21, 4 Ag 3.21
Tl (0.2500, 0.2500, 0.2500)  4 Th 3.21, 4 Sc 3.21
Ag (0.2500, 0.2500, 0.7500)  4 Sc 3.21, 4 Th 3.21

=====

13.
A plane-wave DFT calculation with PBE was carried out for an optimized crystal structure of ThSc2Tl2Ag2.

Properties
Raw total energy, eV/atom: -4.510
Formation energy from the elements, eV/atom: -0.15
V, Å³/atom: 23.7

Cell lengths 4.7801, 4.7801, 25.1974 Å; angles 90.00, 90.00, 120.00 degrees
Closest atoms and distances in Å follow each position.
Space group R-3m (No. 166, hexagonal axes)
Symmetry-distinct sites (fractional):
Th (0.0000, 0.0000, 0.0000)  6 Tl 3.28, 2 Sc 3.45
Sc (0.0000, 0.0000, 0.1367)  3 Ag 2.85, 3 Sc 3.15, 1 Tl 3.18
Tl (0.0000, 0.0000, 0.2628)  3 Ag 2.92, 4 Sc 3.18-3.23
Ag (0.0000, 0.0000, 0.4418)  3 Sc 2.85, 3 Tl 2.92, 1 Ag 2.93

=====

14.
A plane-wave DFT calculation with PBE was carried out for an optimized crystal structure of TmThScAg.

Properties
Raw total energy, eV/atom: -5.407
Formation energy from the elements, eV/atom: -0.14
V, Å³/atom: 25.4

Cell lengths 3.5552, 3.5552, 8.0488 Å; angles 90.00, 90.00, 90.00 degrees
Closest atoms and distances in Å follow each position.
Space group P4mm (No. 99)
Symmetry-distinct sites (fractional):
Tm (0.0000, 0.0000, 0.0000)  4 Ag 3.11, 1 Sc 3.44, 4 Th 3.47
Th (0.5000, 0.5000, 0.2966)  4 Sc 3.35, 4 Tm 3.47, 4 Th 3.56
Sc (0.0000, 0.0000, 0.5723)  4 Ag 2.99
Ag (0.5000, 0.5000, 0.7733)  4 Sc 2.99, 4 Tm 3.11

=====

15.
A plane-wave DFT calculation with PBE was carried out for an optimized crystal structure of ScTiAg2.

Properties
Raw total energy, eV/atom: -5.023
Formation energy from the elements, eV/atom: -0.04
V, Å³/atom: 19.0
Offset from the most stable computed form, eV per atom: 0.007

Cell lengths 4.7019, 4.7019, 3.4392 Å; angles 90.00, 90.00, 90.00 degrees
Closest atoms and distances in Å follow each position.
Space group P4/mmm (No. 123)
Symmetry-distinct sites (fractional):
Sc (0.0000, 0.0000, 0.0000)  8 Ag 2.91
Ti (0.5000, 0.5000, 0.0000)  8 Ag 2.91
Ag (0.0000, 0.5000, 0.5000)  4 Ti 2.91, 4 Sc 2.91

=====

16.
A plane-wave DFT calculation with PBE was carried out for an optimized crystal structure of ScTiAg.

Properties
Raw total energy, eV/atom: -5.773
Formation energy from the elements, eV/atom: -0.08
V, Å³/atom: 19.3
Offset from the most stable computed form, eV per atom: 0.031

Cell lengths 9.7523, 3.0836, 8.4493 Å; angles 90.00, 114.20, 90.00 degrees
Closest atoms and distances in Å follow each position.
Space group C2/m (No. 12)
Symmetry-distinct sites (fractional):
Sc (0.0012, 0.0000, 0.2317)  5 Ag 2.86-3.05, 5 Ti 2.97-3.18, 2 Sc 3.08
Ti (0.1543, 0.5000, 0.5568)  5 Ti 2.76-3.08, 2 Sc 2.97
Ag (0.1803, 0.5000, 0.0998)  5 Sc 2.86-3.05, 4 Ag 2.99-3.08, 2 Ti 3.09

=====

17.
A plane-wave DFT calculation with PBE was carried out for an optimized crystal structure of ScTiAg.

Properties
Raw total energy, eV/atom: -5.603
Formation energy from the elements, eV/atom: 0.09
V, Å³/atom: 19.5
Offset from the most stable computed form, eV per atom: 0.202

Cell lengths 4.6700, 8.1090, 6.1926 Å; angles 90.00, 90.00, 90.00 degrees
Closest atoms and distances in Å follow each position.
Space group Cmcm (No. 63)
Symmetry-distinct sites (fractional):
Sc (0.0000, 0.0000, 0.0000)  2 Sc 3.10, 6 Ag 3.11-3.12, 6 Ti 3.11
Ti (0.0000, 0.3332, 0.2500)  3 Ag 2.70
Ag (0.0000, 0.3337, 0.7500)  3 Ti 2.70

=====

18.
A plane-wave DFT calculation with PBE was carried out for an optimized crystal structure of ScTiAg2.

Properties
Raw total energy, eV/atom: -4.667
Formation energy from the elements, eV/atom: 0.32
V, Å³/atom: 19.9
Offset from the most stable computed form, eV per atom: 0.363

Cell lengths 7.6005, 7.6005, 5.5252 Å; angles 90.00, 90.00, 90.00 degrees
Closest atoms and distances in Å follow each position.
Space group I-42d (No. 122)
Symmetry-distinct sites (fractional):
Sc (0.0000, 0.0000, 0.0000)  2 Ti 2.76, 4 Ag 2.86
Ti (0.0000, 0.0000, 0.5000)  4 Ag 2.69, 2 Sc 2.76
Ag (0.2335, 0.2500, 0.6250)  2 Ti 2.69, 2 Ag 2.77, 2 Sc 2.86

=====

19.
A plane-wave DFT calculation with PBE was carried out for an optimized crystal structure of ScTiAg2.

Properties
Raw total energy, eV/atom: -5.031
Formation energy from the elements, eV/atom: -0.05
V, Å³/atom: 18.9
Offset from the most stable computed form, eV per atom: 0.000

Cell lengths 3.3710, 3.3710, 6.6684 Å; angles 90.00, 90.00, 90.00 degrees
Closest atoms and distances in Å follow each position.
Space group P4/mmm (No. 123)
Symmetry-distinct sites (fractional):
Sc (0.0000, 0.0000, 0.0000)  8 Ag 2.95
Ti (0.0000, 0.0000, 0.5000)  8 Ag 2.87
Ag (0.5000, 0.5000, 0.2612)  4 Ti 2.87, 4 Sc 2.95, 1 Ag 3.18

=====

20.
A plane-wave DFT calculation with PBE was carried out for an optimized crystal structure of ScTiAg.

Properties
Raw total energy, eV/atom: -5.433
Formation energy from the elements, eV/atom: 0.26
V, Å³/atom: 20.3
Offset from the most stable computed form, eV per atom: 0.371

Cell lengths 4.2121, 4.2121, 6.8798 Å; angles 90.00, 90.00, 90.00 degrees
Closest atoms and distances in Å follow each position.
Space group P4/nmm (No. 129, origin choice 2)
Symmetry-distinct sites (fractional):
Sc (0.2500, 0.7500, 0.0000)  4 Ag 2.86, 4 Sc 2.98
Ti (0.2500, 0.2500, 0.3519)  1 Ag 2.52
Ag (0.2500, 0.2500, 0.7189)  1 Ti 2.52

=====

Number 1: theoretical density 6.3 g/cm3. Number 2: theoretical density 6.1 g/cm3. Number 3: theoretical density 8.9 g/cm3. Number 4: theoretical density 7.2 g/cm3. Number 5: theoretical density 9.4 g/cm3. Number 6: theoretical density 9.3 g/cm3. Number 7: theoretical density 9.6 g/cm3. Number 8: theoretical density 7.2 g/cm3. Number 9: theoretical density 5.9 g/cm3. Number 10: theoretical density 7.4 g/cm3. Number 11: theoretical density 7.1 g/cm3. Number 12: theoretical density 9.6 g/cm3. Number 13: theoretical density 9.5 g/cm3. Number 14: theoretical density 9.0 g/cm3. Number 15: theoretical density 6.7 g/cm3. Number 16: theoretical density 5.8 g/cm3. Number 17: theoretical density 5.7 g/cm3. Number 18: theoretical density 6.4 g/cm3. Number 19: theoretical density 6.8 g/cm3. Number 20: theoretical density 5.5 g/cm3.